Computed, not measured: crystalline Sb2S2Cl at its relaxed geometry at the PBE level of DFT.

Computed properties:
For the density of states at the Fermi level, the calculation gives 0.5172 states/eV per atom. The space group is P4/mbm, No. 127. For the formation energy from raw total energies, the calculation gives -0.20 eV per atom. The calculation puts the energy relative to the lowest polymorph listed for this composition at 0.0450 eV per atom. The total energy is -3.874 eV per atom.

abc: 8.312 8.312 3.740
angles: 90.00 90.00 90.00
Sites, in units of the cell vectors:
Sb (0.211, 0.289, 0.000)
Sb (0.289, 0.789, 0.000)
Sb (0.711, 0.211, 0.000)
Sb (0.789, 0.711, 0.000)
S (0.147, 0.647, 0.500)
S (0.353, 0.147, 0.500)
S (0.647, 0.853, 0.500)
S (0.853, 0.353, 0.500)
Cl (0.000, 0.000, 0.000)
Cl (0.500, 0.500, 0.000)

=====

Computed, not measured: crystalline SbS6Cl at its relaxed geometry at the PBE level of DFT.

Computed properties:
For the density of states at the Fermi level, the calculation gives 0.5111 states/eV per atom. The space group is C2/m, No. 12. For the formation energy from raw total energies, the calculation gives 0.11 eV per atom. The total energy is -3.734 eV per atom.

abc: 7.370 7.370 5.364
angles: 104.45 104.45 119.10
Sites, in units of the cell vectors:
Sb (0.000, 0.000, 0.000)
S (0.025, 0.587, 0.886)
S (0.413, 0.975, 0.114)
S (0.436, 0.436, 0.291)
S (0.564, 0.564, 0.709)
S (0.587, 0.025, 0.886)
S (0.975, 0.413, 0.114)
Cl (0.000, 0.000, 0.500)

=====

Computed, not measured: crystalline Sb2S2Cl at its relaxed geometry at the PBE level of DFT.

Computed properties:
For the density of states at the Fermi level, the calculation gives 0.1656 states/eV per atom. The space group is C2/m, No. 12. For the formation energy from raw total energies, the calculation gives -0.25 eV per atom. The calculation puts the energy relative to the lowest polymorph listed for this composition at 0.0000 eV per atom. The total energy is -3.919 eV per atom.

abc: 4.828 4.828 5.839
angles: 103.95 103.95 91.23
Sites, in units of the cell vectors:
Sb (0.191, 0.191, 0.283)
Sb (0.809, 0.809, 0.717)
S (0.234, 0.766, 0.500)
S (0.766, 0.234, 0.500)
Cl (0.500, 0.500, 0.000)